Entry from Alexandria: SrMn2Ru at its PBEsol-relaxed geometry (meta-GGA SCAN).

Properties
**E_form**: 0.39 eV per atom
**Energy above the most stable polymorph in this dataset**: 231 meV/atom
**Total magnetic moment**: 1.4982 μB/atom

Cell: 2.9754 2.9754 7.6712 Å, 90.00 90.00 90.00°
Space group P4mm (No. 99)
Unique sites:
Sr: 0.0000 0.0000 0.0000
Mn: 0.0000 0.0000 0.5264
Mn: 0.5000 0.5000 0.3370
Ru: 0.5000 0.5000 0.6932


Entry from Alexandria: TaMn2Ru at its PBEsol-relaxed geometry (meta-GGA SCAN).

Properties
**E_form**: -0.12 eV per atom
**Energy above the most stable polymorph in this dataset**: 174 meV/atom
**Total magnetic moment**: 1.1973 μB/atom

Cell: 3.2649 4.0657 8.0784 Å, 90.00 90.00 90.00°
Space group Immm (No. 71)
Unique sites:
Ta: 0.0000 0.0000 0.0000
Mn: 0.0000 0.5000 0.2485
Ru: 0.0000 0.0000 0.5000


Entry from Alexandria: TaMn3Ru at its PBEsol-relaxed geometry (meta-GGA SCAN).

Properties
**E_form**: 1.23 eV per atom
**Total magnetic moment**: 1.6318 μB/atom

Cell: 4.3364 4.3364 4.3364 Å, 90.00 90.00 90.00°
Space group Pm-3m (No. 221)
Unique sites:
Ta: 0.0000 0.0000 0.0000
Mn: 0.0000 0.5000 0.5000
Ru: 0.5000 0.5000 0.5000